{"formula": "Ta4AlCr", "functional": "GGA-PBE", "state": "optimized geometry", "lattice": [[0.000, 3.826, 3.826], [3.826, 0.000, 3.826], [3.826, 3.826, 0.000]], "species": ["Cr", "Ta", "Ta", "Ta", "Ta", "Al"], "fractional_positions": [[0.000, 0.000, 0.000], [0.375, 0.375, 0.875], [0.375, 0.375, 0.375], [0.375, 0.875, 0.375], [0.875, 0.375, 0.375], [0.750, 0.750, 0.750]], "formation_energy_ev_per_atom": 0.51, "n_ef_per_ev_cell": 5.828, "magmom_total_mub_per_fu": 2.318}

{"formula": "Nd2Dy2Tm", "functional": "GGA-PBE", "state": "optimized geometry", "lattice": [[-3.177, -1.326, -4.573], [3.027, -0.386, -1.991], [0.742, -14.489, 7.269]], "species": ["Nd", "Nd", "Nd", "Nd", "Dy", "Dy", "Dy", "Dy", "Tm", "Tm"], "fractional_positions": [[0.272, 0.022, 0.544], [0.629, 0.879, 0.258], [0.728, 0.978, 0.456], [0.371, 0.121, 0.742], [0.459, 0.709, 0.917], [0.541, 0.291, 0.083], [0.945, 0.195, 0.891], [0.055, 0.805, 0.109], [0.830, 0.580, 0.661], [0.170, 0.420, 0.339]], "formation_energy_ev_per_atom": 0.14, "n_ef_per_ev_cell": 14.266, "magmom_total_mub_per_fu": 0.000}